This record from the Alexandria database describes a relaxed NpMnGaOs crystal. The functional is GGA-PBE.

Results
- energy relative to the elements (eV/atom) = 0.0289
- volume (Å³ per atom) = 16.37

a b c (Å): 6.399 6.399 6.399
angles (deg): 90.00 90.00 90.00
Space group F-43m (No. 216)
One atom of each set of equivalent atoms:
Np 0.000 0.000 0.000
Mn 0.250 0.250 0.250
Ga 0.000 0.000 0.500
Os 0.250 0.250 0.750